Entry A
Compound: Nd7Y12Er
Source: Alexandria
Functional: PBE-GGA
Structure: optimized geometry

```
data_Nd7Y12Er
_chemical_formula_sum 'Nd21 Y36 Er3'
_cell_length_a 12.0592
_cell_length_b 12.0592
_cell_length_c 16.4102
_cell_angle_alpha 90.00
_cell_angle_beta 90.00
_cell_angle_gamma 120.00
_symmetry_space_group_name_H-M 'R -3'
_symmetry_Int_Tables_number 148
_symmetry_space_group_name_Hall '-R 3'
loop_
_atom_site_label
_atom_site_fract_x
_atom_site_fract_y
_atom_site_fract_z
Nd1 0.0000 0.0000 0.0000
Nd2 0.0563 0.1872 0.2898
Y1 0.0274 0.4501 0.2213
Y2 0.0536 0.5855 0.5832
Er1 0.0000 0.0000 0.5000
```

---

Entry B
Compound: Nd7Y12Er
Source: Alexandria
Functional: PBE-GGA
Structure: optimized geometry

```
data_Nd7Y12Er
_chemical_formula_sum 'Nd14 Y24 Er2'
_cell_length_a 11.349
_cell_length_b 11.349
_cell_length_c 11.349
_cell_angle_alpha 90.00
_cell_angle_beta 90.00
_cell_angle_gamma 90.00
_symmetry_space_group_name_H-M 'I m -3 m'
_symmetry_Int_Tables_number 229
_symmetry_space_group_name_Hall '-I 4 2 3'
loop_
_atom_site_label
_atom_site_fract_x
_atom_site_fract_y
_atom_site_fract_z
Nd1 0.000 0.000 0.500
Nd2 0.250 0.250 0.250
Y1 0.000 0.246 0.246
Er1 0.000 0.000 0.000
```

---

entry A is preferred energetically. Next in line: 38.8 kJ/mol of atoms higher.